Record 1
First-principles (PBE) data for Ac15TbPr4 after structural relaxation, as listed in Alexandria via LeMat-Bulk.

Structure (CIF):
```
data_Ac15TbPr4
_chemical_formula_sum 'Ac15 Tb1 Pr4'
_symmetry_space_group_name_H-M 'P 4/m m m'
_symmetry_Int_Tables_number 123
_symmetry_space_group_name_Hall '-P 4 2'
_cell_length_a 5.546
_cell_length_b 5.546
_cell_length_c 27.630
_cell_angle_alpha 90.00
_cell_angle_beta 90.00
_cell_angle_gamma 90.00
loop_
_atom_site_label
_atom_site_fract_x
_atom_site_fract_y
_atom_site_fract_z
Ac1 0.000 0.000 0.000
Ac2 0.000 0.000 0.199
Ac3 0.000 0.000 0.400
Ac4 0.000 0.500 0.099
Ac5 0.000 0.500 0.299
Ac6 0.000 0.500 0.500
Tb1 0.500 0.500 0.000
Pr1 0.500 0.500 0.199
Pr2 0.500 0.500 0.400
```

Calculated values
DFT formation energy: 0.49 eV/f.u.

Record 2
First-principles (PBE) data for Nb2AlAu after structural relaxation, as listed in Alexandria via LeMat-Bulk.

Structure (CIF):
```
data_Nb2AlAu
_chemical_formula_sum 'Nb8 Al4 Au4'
_symmetry_space_group_name_H-M 'I -4 2 d'
_symmetry_Int_Tables_number 122
_symmetry_space_group_name_Hall 'I -4 2bw'
_cell_length_a 7.465
_cell_length_b 7.465
_cell_length_c 5.388
_cell_angle_alpha 90.00
_cell_angle_beta 90.00
_cell_angle_gamma 90.00
loop_
_atom_site_label
_atom_site_fract_x
_atom_site_fract_y
_atom_site_fract_z
Nb1 0.250 0.250 0.125
Al1 0.000 0.000 0.000
Au1 0.000 0.000 0.500
```

Calculated values
DFT formation energy: 0.86 eV/f.u.

Record 3
First-principles (PBE) data for Pr2MnSi4Pt3 after structural relaxation, as listed in Alexandria via LeMat-Bulk.

Structure (CIF):
```
data_Pr2MnSi4Pt3
_chemical_formula_sum 'Pr2 Mn1 Si4 Pt3'
_symmetry_space_group_name_H-M 'P -4 m 2'
_symmetry_Int_Tables_number 115
_cell_length_a 4.228
_cell_length_b 4.228
_cell_length_c 10.091
_cell_angle_alpha 90.00
_cell_angle_beta 90.00
_cell_angle_gamma 90.00
loop_
_symmetry_equiv_pos_as_xyz
'x,y,z'
'y,-x,-z'
'-x,-y,z'
'-y,x,-z'
'-x,y,z'
'-y,-x,-z'
'x,-y,z'
'y,x,-z'
loop_
_atom_site_label
_atom_site_fract_x
_atom_site_fract_y
_atom_site_fract_z
Pr1 0.000 0.500 0.246
Mn1 0.000 0.000 0.500
Si1 0.000 0.000 0.000
Si2 0.000 0.500 0.633
Si3 0.500 0.500 0.000
Pt1 0.000 0.500 0.879
Pt2 0.500 0.500 0.500
```

Calculated values
E_form (uncorrected): -0.9795 eV per atom

Record 4
First-principles (PBE) data for Tb2TmBi after structural relaxation, as listed in Alexandria via LeMat-Bulk.

Structure (CIF):
```
data_Tb2TmBi
_chemical_formula_sum 'Tb4 Tm2 Bi2'
_symmetry_space_group_name_H-M 'P 1 21/m 1'
_symmetry_Int_Tables_number 11
_cell_length_a 4.646
_cell_length_b 4.606
_cell_length_c 11.513
_cell_angle_alpha 90.00
_cell_angle_beta 101.64
_cell_angle_gamma 90.00
loop_
_symmetry_equiv_pos_as_xyz
'x,y,z'
'-x,-y,-z'
'-x,y+1/2,-z'
'x,-y+1/2,z'
loop_
_atom_site_label
_atom_site_fract_x
_atom_site_fract_y
_atom_site_fract_z
Tb1 0.060 0.250 0.120
Tb2 0.437 0.250 0.875
Tm1 0.310 0.750 0.622
Bi1 0.173 0.750 0.344
```

Calculated values
DFT formation energy: -1.53 eV/f.u.

no.,density (g cm⁻³),D(E_F) (states/eV/cell),E (eV per atom)
1,8.1,35.6,-4.244
2,9.1,5.5,-6.576
3,9.5,5.2,-6.834
4,9.6,7.2,-4.785